A relaxed structure of Y2MgTiN. Source: Alexandria via LeMat-Bulk, functional PBE.

Geometry as CIF:
```
data_Y2MgTiN
_chemical_formula_sum 'Y2 Mg1 Ti1 N1'
_space_group_name_H-M_alt 'P 1'
_space_group_IT_number 1
_cell_length_a 5.032
_cell_length_b 5.032
_cell_length_c 4.065
_cell_angle_alpha 90.00
_cell_angle_beta 90.00
_cell_angle_gamma 90.00
loop_
_space_group_symop_operation_xyz
'x,y,z'
loop_
_atom_site_label
_atom_site_fract_x
_atom_site_fract_y
_atom_site_fract_z
_atom_site_occupancy
Y1 0.000 0.500 0.000 1
Y2 0.500 0.000 0.000 1
Mg1 0.000 0.000 0.500 1
Ti1 0.500 0.500 0.500 1
N1 0.500 0.500 0.000 1
```

Calculated values
Volume in Å³/atom: 20.6
Energy relative to the elements, uncorrected in meV per atom: -685
Magnetic moment in μB per cell: 1.45
Space group: P4/mmm (123)

A relaxed structure of Y2MgTiN. Source: Alexandria via LeMat-Bulk, functional PBE.

Geometry as CIF:
```
data_Y2MgTiN
_chemical_formula_sum 'Y2 Mg1 Ti1 N1'
_space_group_name_H-M_alt 'P 1'
_space_group_IT_number 1
_cell_length_a 4.860
_cell_length_b 4.860
_cell_length_c 4.430
_cell_angle_alpha 90.00
_cell_angle_beta 90.00
_cell_angle_gamma 90.00
loop_
_space_group_symop_operation_xyz
'x,y,z'
loop_
_atom_site_label
_atom_site_fract_x
_atom_site_fract_y
_atom_site_fract_z
_atom_site_occupancy
Y1 0.000 0.500 0.000 1
Y2 0.500 0.000 0.000 1
Mg1 0.000 0.000 0.500 1
Ti1 0.500 0.500 0.500 1
N1 0.000 0.000 0.000 1
```

Calculated values
Volume in Å³/atom: 20.9
Energy relative to the elements, uncorrected in meV per atom: -289
Magnetic moment in μB per cell: 3.03
Space group: P4/mmm (123)